[1]
ReAs2Au | PBE-GGA | relaxed

a = 3.081 Å, b = 3.081 Å, c = 7.433 Å
α = 90.00°, β = 90.00°, γ = 90.00°
Fractional coordinates of all 4 atoms:
1 Re 0.500 0.500 0.750
2 As 0.000 0.000 0.953
3 As 0.000 0.000 0.547
4 Au 0.500 0.500 0.250

Results
The total DFT energy (no corrections) comes out at -24.1 eV/cell. The energy relative to the elements is 0.24 eV per atom. As for the energy above the lowest structure with this stoichiometry: 53 meV per atom.

***

[2]
AgC2F8 | PBE-GGA | relaxed

a = 7.879 Å, b = 5.668 Å, c = 5.668 Å
α = 59.11°, β = 108.62°, γ = 108.62°
Each line ends with the local moment (μB).
Fractional coordinates of all 11 atoms:
1 Ag 0.000 0.000 0.000  0.24
2 C 0.329 0.774 0.774  0.00
3 C 0.671 0.226 0.226  0.00
4 F 0.739 0.990 0.383  0.01
5 F 0.261 0.617 0.010  0.01
6 F 0.512 0.841 0.841  0.00
7 F 0.488 0.159 0.159  0.00
8 F 0.739 0.383 0.990  0.01
9 F 0.261 0.010 0.617  0.01
10 F 0.287 0.629 0.629  0.01
11 F 0.713 0.371 0.371  0.01

Results
The total DFT energy (no corrections) comes out at -52.0 eV/cell.